4
Lattice="-1.983 -1.679 -3.885 -1.135 -3.922 2.274 -2.321 1.086 0.716" Properties=species:S:1:pos:R:3 comment="PBE NiP2Cl, relaxed" polymorph_energy_mev_per_atom=936.6 total_energy_ev_per_atom=-3.89 sg="P4/mmm (123)" density_g_cm3=4.5 pbc="T T T"
Cl -2.152 -0.296 -1.585
Ni -1.728 -1.418 1.495
P 0.000 0.000 0.000
P -1.559 -2.800 -0.805